VASP calculation (PBE) on a geometry-optimized PdSeI2O structure.

extended XYZ file:
```
5
Lattice="5.586 0.000 0.000 0.000 5.586 0.000 0.000 0.000 3.882" Properties=species:S:1:pos:R:3 pbc="T T T"
Pd 0.000 0.000 0.000
Se 2.793 2.793 1.941
I 0.000 2.793 0.000
I 2.793 0.000 0.000
O 0.000 0.000 1.941
```

Fermi-level density of states	4.70	states/eV per cell
volume	24.2	Å³ per atom
formation energy without anion corrections	30	kJ/mol of atoms
mass density	6.24	g/cm3